LiDyCoRu, relaxed, DFT GGA-PBE; symmetry = F-43m, No. 216; formation enthalpy at 0 K = 74 meV/atom; VASP energy = -22.6 eV for the cell shown; magnetization = 2.31 μB/cell
1.0
-2.543 -3.673 0.131
-0.428 -2.287 3.816
-3.884 0.048 2.211
Ru Co Dy Li
1 1 1 1
Cartesian
-1.714 -1.478 1.540
-3.427 -2.956 3.079
-5.141 -4.434 4.619
0.000 0.000 0.000


LiDyCoSb, relaxed, DFT GGA-PBE; symmetry = F-43m, No. 216; ΔE_f (raw) = -2.094 eV per formula unit; VASP energy = -19.8 eV for the cell shown; magnetization = 0.00 μB/cell
1.0
4.580 0.000 0.000
2.290 3.966 0.000
2.290 1.322 3.740
Co Sb Li Dy
1 1 1 1
Cartesian
6.870 3.966 2.805
4.580 2.644 1.870
2.290 1.322 0.935
0.000 0.000 0.000


Among the records above, which one has the lowest VASP energy?
LiDyCoRu


What is the VASP energy in the second record?
-19.8 eV for the cell shown


magnetization of number 1 (LiDyCoRu)?
2.31 μB/cell